[1]
Crystalline FeTe2W at its relaxed geometry. Source: the Alexandria database, functional GGA-PBEsol.

## Properties
- symmetry = No. 156
- E_form (uncorrected) (eV/f.u.) = -0.18
- energy above the most stable polymorph in this dataset (eV per atom) = 0.000

Structure (CIF):
```
data_FeTe2W
_cell_length_a 3.892
_cell_length_b 3.892
_cell_length_c 6.777
_cell_angle_alpha 90.01
_cell_angle_beta 90.01
_cell_angle_gamma 60.00
_space_group_name_H-M_alt 'P 1'
_space_group_IT_number 1
loop_
_space_group_symop_operation_xyz
'x,y,z'
loop_
_atom_site_label
_atom_site_type_symbol
_atom_site_fract_x
_atom_site_fract_y
_atom_site_fract_z
_atom_site_occupancy
Te1 Te 0.125 0.125 0.916 1
Te2 Te 0.792 0.792 0.370 1
Fe1 Fe 0.125 0.125 0.548 1
W1 W 0.458 0.458 0.666 1
```

---

[2]
Crystalline TlSeF2 at its relaxed geometry. Source: the Alexandria database, functional GGA-PBEsol.

## Properties
- symmetry = No. 166
- E_form (uncorrected) (eV/f.u.) = -2.54

Structure (CIF):
```
data_TlSeF2
_cell_length_a 3.004
_cell_length_b 3.004
_cell_length_c 8.682
_cell_angle_alpha 80.04
_cell_angle_beta 80.04
_cell_angle_gamma 60.00
_space_group_name_H-M_alt 'P 1'
_space_group_IT_number 1
loop_
_space_group_symop_operation_xyz
'x,y,z'
loop_
_atom_site_label
_atom_site_type_symbol
_atom_site_fract_x
_atom_site_fract_y
_atom_site_fract_z
_atom_site_occupancy
Tl1 Tl 0.000 0.000 0.000 1
Se1 Se 0.500 0.500 0.500 1
F1 F 0.904 0.904 0.287 1
F2 F 0.096 0.096 0.713 1
```

---

[3]
Crystalline Rb3DyF6 at its relaxed geometry. Source: the Alexandria database, functional GGA-PBEsol.

## Properties
- symmetry = No. 139
- E_form (uncorrected) (eV/f.u.) = -32.41

Structure (CIF):
```
data_Rb3DyF6
_cell_length_a 6.863
_cell_length_b 6.863
_cell_length_c 6.863
_cell_angle_alpha 92.39
_cell_angle_beta 118.63
_cell_angle_gamma 118.63
_space_group_name_H-M_alt 'P 1'
_space_group_IT_number 1
loop_
_space_group_symop_operation_xyz
'x,y,z'
loop_
_atom_site_label
_atom_site_type_symbol
_atom_site_fract_x
_atom_site_fract_y
_atom_site_fract_z
_atom_site_occupancy
Rb1 Rb 0.500 0.750 0.250 1
Rb2 Rb 0.500 0.250 0.750 1
Rb3 Rb 0.000 0.500 0.500 1
Dy1 Dy 0.000 0.000 0.000 1
F1 F 0.693 0.000 0.693 1
F2 F 0.307 0.000 0.307 1
F3 F 0.693 0.693 0.000 1
F4 F 0.307 0.307 0.000 1
F5 F 0.000 0.230 0.230 1
F6 F 0.000 0.770 0.770 1
```

---

[4]
Crystalline ZnCd2As at its relaxed geometry. Source: the Alexandria database, functional GGA-PBEsol.

## Properties
- calculated formation energy (eV per atom) = 0.15
- symmetry = No. 99
- energy above the most stable polymorph in this dataset (eV per atom) = 0.013

Structure (CIF):
```
data_ZnCd2As
_cell_length_a 3.582
_cell_length_b 3.582
_cell_length_c 6.163
_cell_angle_alpha 90.00
_cell_angle_beta 90.00
_cell_angle_gamma 90.00
_space_group_name_H-M_alt 'P 1'
_space_group_IT_number 1
loop_
_space_group_symop_operation_xyz
'x,y,z'
loop_
_atom_site_label
_atom_site_type_symbol
_atom_site_fract_x
_atom_site_fract_y
_atom_site_fract_z
_atom_site_occupancy
As1 As 0.500 0.500 0.686 1
Cd1 Cd 0.000 0.000 0.009 1
Cd2 Cd 0.500 0.500 0.247 1
Zn1 Zn 0.000 0.000 0.559 1
```

---

[5]
Crystalline Li2CoSiO4 at its relaxed geometry. Source: the Alexandria database, functional GGA-PBEsol.

## Properties
- symmetry = No. 62
- E_form (uncorrected) (eV/f.u.) = -16.31
- energy above the most stable polymorph in this dataset (eV per atom) = 0.015

Structure (CIF):
```
data_Li2CoSiO4
_cell_length_a 5.029
_cell_length_b 6.106
_cell_length_c 10.769
_cell_angle_alpha 90.00
_cell_angle_beta 90.00
_cell_angle_gamma 90.00
_space_group_name_H-M_alt 'P 1'
_space_group_IT_number 1
loop_
_space_group_symop_operation_xyz
'x,y,z'
loop_
_atom_site_label
_atom_site_type_symbol
_atom_site_fract_x
_atom_site_fract_y
_atom_site_fract_z
_atom_site_occupancy
Li1 Li 0.800 0.005 0.669 1
Li2 Li 0.700 0.005 0.169 1
Li3 Li 0.800 0.495 0.669 1
Li4 Li 0.700 0.495 0.169 1
Li5 Li 0.300 0.505 0.831 1
Li6 Li 0.200 0.505 0.331 1
Li7 Li 0.200 0.995 0.331 1
Li8 Li 0.300 0.995 0.831 1
Co1 Co 0.193 0.750 0.576 1
Co2 Co 0.307 0.750 0.076 1
Co3 Co 0.693 0.250 0.924 1
Co4 Co 0.807 0.250 0.424 1
Si1 Si 0.809 0.750 0.915 1
Si2 Si 0.691 0.750 0.415 1
Si3 Si 0.309 0.250 0.585 1
Si4 Si 0.191 0.250 0.085 1
O1 O 0.701 0.967 0.840 1
O2 O 0.799 0.967 0.340 1
O3 O 0.137 0.750 0.916 1
O4 O 0.797 0.750 0.560 1
O5 O 0.703 0.750 0.060 1
O6 O 0.363 0.750 0.416 1
O7 O 0.701 0.533 0.840 1
O8 O 0.799 0.533 0.340 1
O9 O 0.299 0.467 0.160 1
O10 O 0.201 0.467 0.660 1
O11 O 0.297 0.250 0.940 1
O12 O 0.637 0.250 0.584 1
O13 O 0.203 0.250 0.440 1
O14 O 0.863 0.250 0.084 1
O15 O 0.201 0.033 0.660 1
O16 O 0.299 0.033 0.160 1
```

---

[6]
Crystalline Y2InW at its relaxed geometry. Source: the Alexandria database, functional GGA-PBEsol.

## Properties
- calculated formation energy (eV per atom) = 0.42
- symmetry = No. 10

Structure (CIF):
```
data_Y2InW
_cell_length_a 3.064
_cell_length_b 5.538
_cell_length_c 5.845
_cell_angle_alpha 114.48
_cell_angle_beta 90.00
_cell_angle_gamma 90.00
_space_group_name_H-M_alt 'P 1'
_space_group_IT_number 1
loop_
_space_group_symop_operation_xyz
'x,y,z'
loop_
_atom_site_label
_atom_site_type_symbol
_atom_site_fract_x
_atom_site_fract_y
_atom_site_fract_z
_atom_site_occupancy
In1 In 0.500 0.500 0.000 1
W1 W 0.000 0.500 0.500 1
Y1 Y 0.000 0.000 0.000 1
Y2 Y 0.500 0.000 0.500 1
```

---

[7]
Crystalline K2HgSbBr6 at its relaxed geometry. Source: the Alexandria database, functional GGA-PBEsol.

## Properties
- symmetry = No. 225
- E_form (uncorrected) (eV/f.u.) = -9.38

Structure (CIF):
```
data_K2HgSbBr6
_cell_length_a 7.963
_cell_length_b 7.963
_cell_length_c 7.963
_cell_angle_alpha 60.00
_cell_angle_beta 60.00
_cell_angle_gamma 60.00
_space_group_name_H-M_alt 'P 1'
_space_group_IT_number 1
loop_
_space_group_symop_operation_xyz
'x,y,z'
loop_
_atom_site_label
_atom_site_type_symbol
_atom_site_fract_x
_atom_site_fract_y
_atom_site_fract_z
_atom_site_occupancy
K1 K 0.750 0.750 0.750 1
K2 K 0.250 0.250 0.250 1
Hg1 Hg 0.500 0.500 0.500 1
Sb1 Sb 0.000 0.000 0.000 1
Br1 Br 0.755 0.245 0.245 1
Br2 Br 0.755 0.755 0.245 1
Br3 Br 0.245 0.755 0.755 1
Br4 Br 0.755 0.245 0.755 1
Br5 Br 0.245 0.755 0.245 1
Br6 Br 0.245 0.245 0.755 1
```

---

[8]
Crystalline RbYFe3 at its relaxed geometry. Source: the Alexandria database, functional GGA-PBEsol.

## Properties
- calculated formation energy (eV per atom) = 2.14
- symmetry = No. 221

Structure (CIF):
```
data_RbYFe3
_cell_length_a 4.624
_cell_length_b 4.624
_cell_length_c 4.624
_cell_angle_alpha 90.00
_cell_angle_beta 90.00
_cell_angle_gamma 90.00
_space_group_name_H-M_alt 'P 1'
_space_group_IT_number 1
loop_
_space_group_symop_operation_xyz
'x,y,z'
loop_
_atom_site_label
_atom_site_type_symbol
_atom_site_fract_x
_atom_site_fract_y
_atom_site_fract_z
_atom_site_occupancy
Y1 Y 0.500 0.500 0.500 1
Fe1 Fe 0.000 0.500 0.000 1
Fe2 Fe 0.000 0.000 0.500 1
Fe3 Fe 0.500 0.000 0.000 1
Rb1 Rb 0.000 0.000 0.000 1
```

---

[9]
Crystalline Y2Co14Cu3 at its relaxed geometry. Source: the Alexandria database, functional GGA-PBEsol.

## Properties
- calculated formation energy (eV per atom) = -0.02
- symmetry = No. 194

Structure (CIF):
```
data_Y2Co14Cu3
_cell_length_a 8.001
_cell_length_b 8.180
_cell_length_c 8.180
_cell_angle_alpha 120.00
_cell_angle_beta 90.00
_cell_angle_gamma 90.00
_space_group_name_H-M_alt 'P 1'
_space_group_IT_number 1
loop_
_space_group_symop_operation_xyz
'x,y,z'
loop_
_atom_site_label
_atom_site_type_symbol
_atom_site_fract_x
_atom_site_fract_y
_atom_site_fract_z
_atom_site_occupancy
Co1 Co 0.891 0.667 0.333 1
Co2 Co 0.391 0.333 0.667 1
Co3 Co 0.109 0.333 0.667 1
Co4 Co 0.609 0.667 0.333 1
Co5 Co 0.750 0.673 0.626 1
Co6 Co 0.750 0.953 0.327 1
Co7 Co 0.750 0.374 0.047 1
Co8 Co 0.250 0.327 0.374 1
Co9 Co 0.250 0.047 0.673 1
Co10 Co 0.250 0.626 0.953 1
Co11 Co 0.250 0.047 0.374 1
Co12 Co 0.250 0.626 0.673 1
Co13 Co 0.250 0.327 0.953 1
Co14 Co 0.750 0.953 0.626 1
Co15 Co 0.750 0.374 0.327 1
Co16 Co 0.750 0.673 0.047 1
Co17 Co 0.016 0.838 0.162 1
Co18 Co 0.016 0.324 0.162 1
Co19 Co 0.016 0.838 0.676 1
Co20 Co 0.516 0.162 0.838 1
Co21 Co 0.516 0.676 0.838 1
Co22 Co 0.516 0.162 0.324 1
Co23 Co 0.984 0.676 0.838 1
Co24 Co 0.984 0.162 0.838 1
Co25 Co 0.984 0.162 0.324 1
Co26 Co 0.484 0.324 0.162 1
Co27 Co 0.484 0.838 0.162 1
Co28 Co 0.484 0.838 0.676 1
Cu1 Cu 0.000 0.500 0.500 1
Cu2 Cu 0.000 0.000 0.500 1
Cu3 Cu 0.000 0.500 0.000 1
Cu4 Cu 0.500 0.500 0.500 1
Cu5 Cu 0.500 0.000 0.500 1
Cu6 Cu 0.500 0.500 0.000 1
Y1 Y 0.750 0.000 0.000 1
Y2 Y 0.250 0.000 0.000 1
Y3 Y 0.250 0.667 0.333 1
Y4 Y 0.750 0.333 0.667 1
```

---

[10]
Crystalline KSr2Au at its relaxed geometry. Source: the Alexandria database, functional GGA-PBEsol.

## Properties
- calculated formation energy (eV per atom) = -0.05
- symmetry = No. 225
- energy above the most stable polymorph in this dataset (eV per atom) = 0.295

Structure (CIF):
```
data_KSr2Au
_cell_length_a 5.739
_cell_length_b 5.739
_cell_length_c 5.739
_cell_angle_alpha 60.00
_cell_angle_beta 60.00
_cell_angle_gamma 60.00
_space_group_name_H-M_alt 'P 1'
_space_group_IT_number 1
loop_
_space_group_symop_operation_xyz
'x,y,z'
loop_
_atom_site_label
_atom_site_type_symbol
_atom_site_fract_x
_atom_site_fract_y
_atom_site_fract_z
_atom_site_occupancy
Au1 Au 0.000 0.000 0.000 1
K1 K 0.500 0.500 0.500 1
Sr1 Sr 0.250 0.250 0.250 1
Sr2 Sr 0.750 0.750 0.750 1
```